No. 1
# VAuN2F | Alexandria | PBE with a Hubbard U | optimized geometry
# DOS at the Fermi energy   2.33 states/eV/cell
# Polymorph energy (0 for the lowest one)   0.000 eV per atom
# Spin magnetization   0.10 μB per cell
# VASP energy   -5.5451 eV per atom
data_VAuN2F
_cell_length_a 3.905
_cell_length_b 3.905
_cell_length_c 3.888
_cell_angle_alpha 90.00
_cell_angle_beta 90.00
_cell_angle_gamma 90.00
_space_group_name_H-M_alt 'P 4/m m m'
_space_group_IT_number 123
_space_group_name_Hall '-P 4 2'
loop_
_atom_site_label
_atom_site_fract_x
_atom_site_fract_y
_atom_site_fract_z
V1 0.000 0.000 0.000
Au1 0.500 0.500 0.500
N1 0.000 0.500 0.000
F1 0.000 0.000 0.500

***

No. 2
# VAuN2F | Alexandria | PBE with a Hubbard U | optimized geometry
# DOS at the Fermi energy   3.49 states/eV/cell
# Polymorph energy (0 for the lowest one)   1.255 eV per atom
# Spin magnetization   1.39 μB per cell
# VASP energy   -4.2904 eV per atom
data_VAuN2F
_cell_length_a 4.048
_cell_length_b 4.048
_cell_length_c 4.227
_cell_angle_alpha 90.00
_cell_angle_beta 90.00
_cell_angle_gamma 90.00
_space_group_name_H-M_alt 'P 4/m m m'
_space_group_IT_number 123
_space_group_name_Hall '-P 4 2'
loop_
_atom_site_label
_atom_site_fract_x
_atom_site_fract_y
_atom_site_fract_z
V1 0.000 0.000 0.000
Au1 0.500 0.500 0.500
N1 0.000 0.500 0.500
F1 0.500 0.500 0.000

***

No. 3
# WAuNF2 | Alexandria | PBE with a Hubbard U | optimized geometry
# DOS at the Fermi energy   5.37 states/eV/cell
# Polymorph energy (0 for the lowest one)   1.367 eV per atom
# Spin magnetization   3.99 μB per cell
# VASP energy   -3.7838 eV per atom
data_WAuNF2
_cell_length_a 4.708
_cell_length_b 4.708
_cell_length_c 3.779
_cell_angle_alpha 90.00
_cell_angle_beta 90.00
_cell_angle_gamma 90.00
_space_group_name_H-M_alt 'P 4/m m m'
_space_group_IT_number 123
_space_group_name_Hall '-P 4 2'
loop_
_atom_site_label
_atom_site_fract_x
_atom_site_fract_y
_atom_site_fract_z
W1 0.000 0.000 0.000
Au1 0.500 0.500 0.500
N1 0.500 0.500 0.000
F1 0.000 0.500 0.500

***

No. 4
# WAuNF2 | Alexandria | PBE with a Hubbard U | optimized geometry
# DOS at the Fermi energy   0.94 states/eV/cell
# Polymorph energy (0 for the lowest one)   0.000 eV per atom
# Spin magnetization   1.65 μB per cell
# VASP energy   -5.1512 eV per atom
data_WAuNF2
_cell_length_a 4.250
_cell_length_b 4.250
_cell_length_c 4.019
_cell_angle_alpha 90.00
_cell_angle_beta 90.00
_cell_angle_gamma 90.00
_space_group_name_H-M_alt 'P 4/m m m'
_space_group_IT_number 123
_space_group_name_Hall '-P 4 2'
loop_
_atom_site_label
_atom_site_fract_x
_atom_site_fract_y
_atom_site_fract_z
W1 0.000 0.000 0.000
Au1 0.500 0.500 0.500
N1 0.000 0.000 0.500
F1 0.000 0.500 0.000